1.
First-principles (PBE-GGA) data for a geometry-optimized Ba2TmPuSe4 structure, as listed in the Alexandria database.

Lattice parameters (Å, degrees): 4.3079 7.4834 7.7833 108.64 90.00 90.00
Last column: nearest neighbours and their distance in Å.
Atoms (fractional coordinates):
Ba  0.5000  0.0000  0.5000  6 Se 3.24-3.25
Pu  0.5000  0.5000  0.0000  6 Se 2.97-2.99
Se  0.0000  0.2551  0.7866  1 Tm 2.90, 2 Pu 2.97, 2 Ba 3.25
Se  0.0000  0.7449  0.2134  1 Tm 2.90, 2 Pu 2.97, 2 Ba 3.25
Se  0.5000  0.2292  0.2108  2 Tm 2.91, 1 Pu 2.99, 1 Ba 3.24
Ba  0.0000  0.5000  0.5000  6 Se 3.30-3.31
Se  0.5000  0.7708  0.7892  2 Tm 2.91, 1 Pu 2.99, 1 Ba 3.24
Tm  0.0000  0.0000  0.0000  6 Se 2.90-2.91

Computed properties:
Magnetic moment: 5.914 μB/f.u.
SG: P2/m (10)
Formation energy from raw total energies: -1.7786 eV per atom
Energy: -6.352 eV per atom

***

2.
First-principles (PBE-GGA) data for a geometry-optimized BaPu2USe8 structure, as listed in the Alexandria database.

Lattice parameters (Å, degrees): 6.7054 6.5243 8.8159 89.96 89.99 90.18
Last column: nearest neighbours and their distance in Å.
Atoms (fractional coordinates):
Se  0.1538  0.7490  0.2072  1 U 2.66, 1 Pu 2.86
Pu  0.5000  0.4999  0.7522  6 Se 2.79-2.89
Se  0.4110  0.2584  0.5001  2 Pu 2.79
Se  0.3335  0.2640  0.0002  1 U 2.82, 2 Pu 2.89
Se  0.8457  0.2506  0.2070  1 U 2.66, 1 Pu 2.86
Se  0.5890  0.7416  0.4999  2 Pu 2.79
Pu  0.5000  0.5001  0.2478  6 Se 2.79-2.89
Ba  0.0000  0.0000  0.5000  6 Se 3.23
Se  0.8462  0.2510  0.7928  1 U 2.66, 1 Pu 2.86
Se  0.6665  0.7360  0.9998  1 U 2.82, 2 Pu 2.89
Se  0.1543  0.7494  0.7930  1 U 2.66, 1 Pu 2.86
U  0.0000  0.0000  0.0000  6 Se 2.66-2.82

Computed properties:
Magnetic moment: 7.976 μB/f.u.
SG: P-1 (2)
Formation energy from raw total energies: -1.1230 eV per atom
Energy: -6.936 eV per atom

***

3.
First-principles (PBE-GGA) data for a geometry-optimized Ba2PuZnSe5 structure, as listed in the Alexandria database.

Lattice parameters (Å, degrees): 4.3106 9.6761 13.3025 90.00 90.00 102.87
Last column: nearest neighbours and their distance in Å.
Atoms (fractional coordinates):
Pu  0.2024  0.4048  0.0188  6 Se 2.78-2.89
Zn  0.4399  0.8798  0.4368  4 Se 2.41-2.63
Se  0.0527  0.1055  0.0378  2 Zn 2.54, 1 Pu 2.83
Se  0.3073  0.6147  0.3750  1 Zn 2.63, 2 Pu 2.89
Pu  0.7976  0.5952  0.5188  6 Se 2.78-2.89
Se  0.7061  0.4122  0.1588  2 Pu 2.85
Se  0.6504  0.3008  0.5084  1 Pu 2.78
Se  0.9473  0.8945  0.5378  2 Zn 2.54, 1 Pu 2.83
Se  0.3496  0.6992  0.0084  1 Pu 2.78
Se  0.5004  0.0007  0.7763  1 Zn 2.41
Ba  0.8853  0.7705  0.1902  7 Se 3.26-3.58
Ba  0.1147  0.2295  0.6902  7 Se 3.26-3.58
Ba  0.1231  0.2461  0.3219  7 Se 3.23-3.55
Se  0.2939  0.5878  0.6588  2 Pu 2.85
Se  0.4996  0.9993  0.2763  1 Zn 2.41
Zn  0.5601  0.1202  0.9368  4 Se 2.41-2.63
Ba  0.8769  0.7539  0.8219  7 Se 3.23-3.55
Se  0.6927  0.3853  0.8750  1 Zn 2.63, 2 Pu 2.89

Computed properties:
Magnetic moment: 4.000 μB/f.u.
SG: Cmc2_1 (36)
Formation energy from raw total energies: -1.4896 eV per atom
Energy: -5.587 eV per atom

***

4.
First-principles (PBE-GGA) data for a geometry-optimized BaPuSi2 structure, as listed in the Alexandria database.

Lattice parameters (Å, degrees): 4.7084 4.7084 6.6448 69.25 69.25 60.00
Last column: nearest neighbours and their distance in Å.
Atoms (fractional coordinates):
Ba  0.5000  0.5000  0.5000  8 Si 3.51-3.84
Si  0.2891  0.2891  0.1326  3 Pu 2.83, 3 Si 3.16
Pu  0.0000  0.0000  0.0000  6 Si 2.83
Si  0.7109  0.7109  0.8674  3 Pu 2.83, 3 Si 3.16

Computed properties:
ΔE to the lowest computed polymorph: 195 meV per atom
Magnetic moment: 5.675 μB/f.u.
SG: R-3m (166)
Formation energy from raw total energies: -0.0676 eV per atom
Energy: -6.843 eV per atom

***

5.
First-principles (PBE-GGA) data for a geometry-optimized BaPuSi2 structure, as listed in the Alexandria database.

Lattice parameters (Å, degrees): 4.5009 7.5570 6.8870 90.00 90.00 107.33
Last column: nearest neighbours and their distance in Å.
Atoms (fractional coordinates):
Si  0.6325  0.2651  0.0807  1 Si 2.33
Si  0.6325  0.2651  0.4193  1 Si 2.33
Ba  0.0451  0.0902  0.7500  8 Si 3.44-3.60, 2 Ba 3.68
Ba  0.9549  0.9098  0.2500  8 Si 3.44-3.60, 2 Ba 3.68
Pu  0.2373  0.4745  0.2500  6 Si 2.95
Si  0.3675  0.7349  0.9193  1 Si 2.33
Si  0.3675  0.7349  0.5807  1 Si 2.33
Pu  0.7627  0.5255  0.7500  6 Si 2.95

Computed properties:
ΔE to the lowest computed polymorph: 0 meV per atom
Magnetic moment: 5.320 μB/f.u.
SG: Cmcm (63)
Formation energy from raw total energies: -0.2626 eV per atom
Energy: -7.038 eV per atom

***

6.
First-principles (PBE-GGA) data for a geometry-optimized BaPu2Si6 structure, as listed in the Alexandria database.

Lattice parameters (Å, degrees): 4.1297 7.4269 7.4269 74.57 73.89 73.89
Last column: nearest neighbours and their distance in Å.
Atoms (fractional coordinates):
Si  0.5000  0.6394  0.3606  3 Si 2.34-2.51
Ba  0.0001  0.9999  0.9999  16 Si 3.70-4.11, 2 Ba 4.13
Pu  0.1522  0.3475  0.3475  10 Si 2.83-3.10
Si  0.5000  0.3606  0.6394  3 Si 2.34-2.51
Pu  0.8478  0.6525  0.6525  10 Si 2.83-3.10
Si  0.3098  0.9423  0.4381  3 Si 2.34-2.45
Si  0.3098  0.4381  0.9423  3 Si 2.34-2.45
Si  0.6902  0.0577  0.5619  3 Si 2.34-2.45
Si  0.6902  0.5619  0.0577  3 Si 2.34-2.45

Computed properties:
Magnetic moment: 11.475 μB/f.u.
SG: Immm (71)
Formation energy from raw total energies: -0.2944 eV per atom
Energy: -7.308 eV per atom

***

Q: energy of number 1 (Ba2TmPuSe4)?
A: -6.352 eV per atom